Entry from the Alexandria database: an optimized crystal structure of HgIr2Pb (PBE-GGA).

Geometry as extended XYZ:
```
4
Lattice="-0.4800 3.9073 2.8161 -3.5525 0.8461 -3.1767 -2.0355 -1.5861 1.8537" Properties=species:S:1:pos:R:3 pbc="T T T"
Hg -2.7940 -0.3700 -0.6615
Ir 0.0000 0.0000 0.0000
Ir -2.0163 2.3767 -0.1803
Pb -1.2577 1.1606 2.3349
```

Calculated values
The symmetry is Cmmm, No. 65. The calculation puts the density of states at the Fermi level at 0.60 states/eV per atom. The total magnetic moment is 0.00 Bohr magnetons per cell. As for the offset from the most stable computed form: 0.169 eV per atom. The total energy is -4.851 eV per atom. For the formation energy, the calculation gives 2.33 eV per formula unit.